--- i ---
Compound: Tb7Pr2Y
Source: the Alexandria database
Functional: GGA-PBE
Structure: relaxed

Properties
Magnetic moment, μB per formula unit: 0.00

```
data_Tb7Pr2Y
_chemical_formula_sum 'Tb7 Pr2 Y1'
_symmetry_space_group_name_H-M 'P -1'
_symmetry_Int_Tables_number 2
_cell_length_a 6.221
_cell_length_b 6.221
_cell_length_c 9.508
_cell_angle_alpha 70.95
_cell_angle_beta 70.93
_cell_angle_gamma 80.45
loop_
_symmetry_equiv_pos_as_xyz
'x,y,z'
'-x,-y,-z'
loop_
_atom_site_label
_atom_site_type_symbol
_atom_site_fract_x
_atom_site_fract_y
_atom_site_fract_z
Tb1 Tb 0.000 0.000 0.000
Tb2 Tb 0.099 0.501 0.300
Tb3 Tb 0.199 0.000 0.599
Tb4 Tb 0.298 0.501 0.900
Pr1 Pr 0.399 0.001 0.201
Y1 Y 0.500 0.500 0.500
```

---

--- ii ---
Compound: Tb7Pr2Y
Source: the Alexandria database
Functional: GGA-PBE
Structure: relaxed

Properties
Magnetic moment, μB per formula unit: 0.00

```
data_Tb7Pr2Y
_chemical_formula_sum 'Tb14 Pr4 Y2'
_symmetry_space_group_name_H-M 'C m m m'
_symmetry_Int_Tables_number 65
_symmetry_space_group_name_Hall '-C 2 2'
_cell_length_a 6.570
_cell_length_b 29.041
_cell_length_c 3.529
_cell_angle_alpha 90.00
_cell_angle_beta 90.00
_cell_angle_gamma 90.00
loop_
_atom_site_label
_atom_site_type_symbol
_atom_site_fract_x
_atom_site_fract_y
_atom_site_fract_z
Tb1 Tb 0.000 0.000 0.000
Tb2 Tb 0.000 0.315 0.500
Tb3 Tb 0.246 0.402 0.000
Pr1 Pr 0.000 0.207 0.000
Y1 Y 0.000 0.500 0.500
```

---

List of relative energies, unit kJ/mol of atoms: i 0.0; ii 12.8

---

--- i ---
Compound: Tb7Pr3Y
Source: the Alexandria database
Functional: GGA-PBE
Structure: relaxed

Properties
Magnetic moment, μB per formula unit: 0.00

```
data_Tb7Pr3Y
_chemical_formula_sum 'Tb7 Pr3 Y1'
_symmetry_space_group_name_H-M 'P 1 2/m 1'
_symmetry_Int_Tables_number 10
_cell_length_a 7.034
_cell_length_b 5.583
_cell_length_c 10.092
_cell_angle_alpha 90.00
_cell_angle_beta 109.74
_cell_angle_gamma 90.00
loop_
_symmetry_equiv_pos_as_xyz
'x,y,z'
'-x,-y,-z'
'-x,y,-z'
'x,-y,z'
loop_
_atom_site_label
_atom_site_type_symbol
_atom_site_fract_x
_atom_site_fract_y
_atom_site_fract_z
Tb1 Tb 0.000 0.000 0.000
Tb2 Tb 0.146 0.500 0.289
Tb3 Tb 0.322 0.500 0.637
Tb4 Tb 0.421 0.000 0.829
Pr1 Pr 0.000 0.000 0.500
Pr2 Pr 0.281 0.500 0.998
Y1 Y 0.500 0.000 0.500
```

---

--- ii ---
Compound: Tb7Pr3Y
Source: the Alexandria database
Functional: GGA-PBE
Structure: relaxed

Properties
Magnetic moment, μB per formula unit: 0.00

```
data_Tb7Pr3Y
_chemical_formula_sum 'Tb7 Pr3 Y1'
_symmetry_space_group_name_H-M 'P 3 m 1'
_symmetry_Int_Tables_number 156
_cell_length_a 7.1304
_cell_length_b 7.1304
_cell_length_c 8.7608
_cell_angle_alpha 90.00
_cell_angle_beta 90.00
_cell_angle_gamma 120.00
loop_
_symmetry_equiv_pos_as_xyz
'x,y,z'
'-y,x-y,z'
'-x+y,-x,z'
'-y,-x,z'
'-x+y,y,z'
'x,x-y,z'
loop_
_atom_site_label
_atom_site_type_symbol
_atom_site_fract_x
_atom_site_fract_y
_atom_site_fract_z
Tb1 Tb 0.0000 0.0000 0.0000
Tb2 Tb 0.1658 0.3316 0.6784
Tb3 Tb 0.5006 0.0012 0.0028
Pr1 Pr 0.3329 0.1665 0.3400
Y1 Y 0.6667 0.3333 0.6805
```

---

List of relative energies, unit kJ/mol of atoms: i 0.0; ii 3.1

---

--- i ---
Compound: TbPr2Y3
Source: the Alexandria database
Functional: GGA-PBE
Structure: relaxed

Properties
Magnetic moment, μB per formula unit: 0.00

```
data_TbPr2Y3
_chemical_formula_sum 'Tb2 Pr4 Y6'
_symmetry_space_group_name_H-M 'P -1'
_symmetry_Int_Tables_number 2
_cell_length_a 6.250
_cell_length_b 6.268
_cell_length_c 10.852
_cell_angle_alpha 73.31
_cell_angle_beta 89.88
_cell_angle_gamma 80.49
loop_
_symmetry_equiv_pos_as_xyz
'x,y,z'
'-x,-y,-z'
loop_
_atom_site_label
_atom_site_type_symbol
_atom_site_fract_x
_atom_site_fract_y
_atom_site_fract_z
Tb1 Tb 0.126 0.250 0.291
Pr1 Pr 0.123 0.250 0.625
Pr2 Pr 0.376 0.750 0.874
Y1 Y 0.123 0.251 0.959
Y2 Y 0.374 0.750 0.209
Y3 Y 0.377 0.750 0.541
```

---

--- ii ---
Compound: TbPr2Y3
Source: the Alexandria database
Functional: GGA-PBE
Structure: relaxed

Properties
Magnetic moment, μB per formula unit: 0.00

```
data_TbPr2Y3
_chemical_formula_sum 'Tb2 Pr4 Y6'
_symmetry_space_group_name_H-M 'P n n m'
_symmetry_Int_Tables_number 58
_cell_length_a 7.049
_cell_length_b 16.577
_cell_length_c 3.514
_cell_angle_alpha 90.00
_cell_angle_beta 90.00
_cell_angle_gamma 90.00
loop_
_symmetry_equiv_pos_as_xyz
'x,y,z'
'-x,-y,-z'
'-x,-y,z'
'x,y,-z'
'x+1/2,-y+1/2,-z+1/2'
'-x+1/2,y+1/2,z+1/2'
'-x+1/2,y+1/2,-z+1/2'
'x+1/2,-y+1/2,z+1/2'
loop_
_atom_site_label
_atom_site_type_symbol
_atom_site_fract_x
_atom_site_fract_y
_atom_site_fract_z
Tb1 Tb 0.000 0.000 0.000
Pr1 Pr 0.249 0.345 0.000
Y1 Y 0.000 0.500 0.500
Y2 Y 0.249 0.158 0.500
```

---

List of relative energies, unit kJ/mol of atoms: i 0.0; ii 12.3

---

--- i ---
Compound: Tb2Pr5Y5
Source: the Alexandria database
Functional: GGA-PBE
Structure: relaxed

Properties
Magnetic moment, μB per formula unit: 0.00

```
data_Tb2Pr5Y5
_chemical_formula_sum 'Tb4 Pr10 Y10'
_symmetry_space_group_name_H-M 'C 1 2/m 1'
_symmetry_Int_Tables_number 12
_cell_length_a 16.655
_cell_length_b 5.860
_cell_length_c 9.760
_cell_angle_alpha 90.00
_cell_angle_beta 120.77
_cell_angle_gamma 90.00
loop_
_symmetry_equiv_pos_as_xyz
'x,y,z'
'-x,-y,-z'
'-x,y,-z'
'x,-y,z'
'x+1/2,y+1/2,z'
'-x+1/2,-y+1/2,-z'
'-x+1/2,y+1/2,-z'
'x+1/2,-y+1/2,z'
loop_
_atom_site_label
_atom_site_type_symbol
_atom_site_fract_x
_atom_site_fract_y
_atom_site_fract_z
Tb1 Tb 0.178 0.000 0.359
Pr1 Pr 0.000 0.000 0.500
Pr2 Pr 0.087 0.000 0.923
Pr3 Pr 0.236 0.500 0.214
Y1 Y 0.000 0.500 0.000
Y2 Y 0.077 0.500 0.387
Y3 Y 0.158 0.500 0.793
```

---

--- ii ---
Compound: Tb2Pr5Y5
Source: the Alexandria database
Functional: GGA-PBE
Structure: relaxed

Properties
Magnetic moment, μB per formula unit: 0.00

```
data_Tb2Pr5Y5
_chemical_formula_sum 'Tb4 Pr10 Y10'
_symmetry_space_group_name_H-M 'C 1 2/m 1'
_symmetry_Int_Tables_number 12
_cell_length_a 15.396
_cell_length_b 5.134
_cell_length_c 11.478
_cell_angle_alpha 90.00
_cell_angle_beta 116.64
_cell_angle_gamma 90.00
loop_
_symmetry_equiv_pos_as_xyz
'x,y,z'
'-x,-y,-z'
'-x,y,-z'
'x,-y,z'
'x+1/2,y+1/2,z'
'-x+1/2,-y+1/2,-z'
'-x+1/2,y+1/2,-z'
'x+1/2,-y+1/2,z'
loop_
_atom_site_label
_atom_site_type_symbol
_atom_site_fract_x
_atom_site_fract_y
_atom_site_fract_z
Tb1 Tb 0.083 0.000 0.249
Pr1 Pr 0.000 0.500 0.000
Pr2 Pr 0.084 0.500 0.750
Pr3 Pr 0.167 0.500 0.499
Y1 Y 0.000 0.000 0.500
Y2 Y 0.167 0.000 0.001
Y3 Y 0.249 0.500 0.248
```

---

List of relative energies, unit kJ/mol of atoms: i 7.8; ii 0.0